Ca2ReHgB after structural relaxation, computed with GGA-PBE.

Output
As for the space group: P4/mmm. For the magnetization, the calculation gives 0.46 μB per atom. For the electronic total energy, the calculation gives -14.6 eV per cell.

Structure (POSCAR):
```
Ca2ReHgB
1.0
5.682 0.000 0.000
0.000 5.085 0.000
0.000 0.000 5.682
Re Hg B Ca
1 1 1 2
Direct
0.000 0.500 0.000
0.000 0.000 0.000
0.500 0.500 0.500
0.000 0.000 0.500
0.500 0.000 0.000
```